(1)
## UAl4Cu2 (GGA-PBE)

Data for an optimized crystal structure of UAl4Cu2.

POSCAR file:
```
UAl4Cu2
1.0
-0.4960 4.1206 0.6783
-6.2052 -1.0548 1.8706
5.1500 -2.0060 15.9524
Cu Al U
8 16 4
Direct
0.7500 0.2490 0.4604 Cu
0.7500 0.4766 0.7213 Cu
0.2500 0.7510 0.5396 Cu
0.2500 0.5234 0.2787 Cu
0.7500 0.0234 0.2213 Cu
0.2500 0.9766 0.7787 Cu
0.2500 0.7490 0.0396 Cu
0.7500 0.2510 0.9604 Cu
0.7500 0.3179 0.3122 Al
0.2500 0.6821 0.6878 Al
0.7500 0.7204 0.3056 Al
0.2500 0.2796 0.6944 Al
0.2500 0.2204 0.1944 Al
0.7500 0.8050 0.4654 Al
0.7500 0.7796 0.8056 Al
0.2500 0.5010 0.4232 Al
0.2500 0.8179 0.1878 Al
0.7500 0.4990 0.5768 Al
0.7500 0.1821 0.8122 Al
0.7500 0.0010 0.0768 Al
0.2500 0.3050 0.0346 Al
0.2500 0.1950 0.5346 Al
0.7500 0.6950 0.9654 Al
0.2500 0.9990 0.9232 Al
0.7500 0.5089 0.1312 U
0.7500 0.9911 0.6312 U
0.2500 0.4911 0.8688 U
0.2500 0.0089 0.3688 U
```

Computed properties:
formation energy	-160	meV per atom
space-group type	Pnma (62)

***

(2)
## Li2AuF6 (GGA-PBE)

Data for an optimized crystal structure of Li2AuF6.

POSCAR file:
```
Li2AuF6
1.0
-4.8229 0.0093 -0.7389
-0.6316 -2.5851 4.0896
-0.7265 7.8348 4.8404
F Au Li
12 2 4
Direct
0.8125 0.1875 0.8369 F
0.3125 0.3125 0.3369 F
0.6875 0.6875 0.6631 F
0.1825 0.8175 0.5000 F
0.1875 0.8125 0.1631 F
0.3125 0.3125 0.6631 F
0.6825 0.6825 0.0000 F
0.3175 0.3175 0.0000 F
0.1875 0.8125 0.8369 F
0.6875 0.6875 0.3369 F
0.8175 0.1825 0.5000 F
0.8125 0.1875 0.1631 F
0.0000 0.0000 0.0000 Au
0.5000 0.5000 0.5000 Au
0.5000 0.5000 0.1590 Li
0.0000 0.0000 0.6590 Li
0.0000 0.0000 0.3410 Li
0.5000 0.5000 0.8410 Li
```

Computed properties:
space-group type	P4_2/mnm (136)
formation energy from raw total energies	-1.8385	eV per atom

***

(3)
## CoAs2Br (GGA-PBE)

Data for an optimized crystal structure of CoAs2Br.

POSCAR file:
```
CoAs2Br
1.0
4.6254 0.0000 0.0000
2.3127 4.0057 0.0000
2.3127 1.3352 3.7766
Co Br As
1 1 2
Direct
0.5000 0.5000 0.5000 Co
0.0000 0.0000 0.0000 Br
0.2500 0.2500 0.2500 As
0.7500 0.7500 0.7500 As
```

Computed properties:
space-group type	Fm-3m (225)
formation energy from raw total energies	0.8312	eV per atom

***

(4)
## Tb6CePm8 (GGA-PBE)

Data for an optimized crystal structure of Tb6CePm8.

POSCAR file:
```
Tb6CePm8
1.0
8.0436 0.4978 3.3430
2.4118 7.6896 3.3430
0.6357 0.4978 8.6874
Tb Pm Ce
6 8 1
Direct
0.7582 0.4614 0.9012 Tb
0.4614 0.9012 0.7582 Tb
0.0988 0.2418 0.5386 Tb
0.5386 0.0988 0.2418 Tb
0.9012 0.7582 0.4614 Tb
0.2418 0.5386 0.0988 Tb
0.8856 0.2450 0.2837 Pm
0.7163 0.1144 0.7550 Pm
0.4223 0.4223 0.4223 Pm
0.7550 0.7163 0.1144 Pm
0.5777 0.5777 0.5777 Pm
0.2450 0.2837 0.8856 Pm
0.1144 0.7550 0.7163 Pm
0.2837 0.8856 0.2450 Pm
0.0000 0.0000 0.0000 Ce
```

Computed properties:
formation energy	126	meV per atom
space-group type	R-3 (148)

***

(5)
## Ho5ZrIn6 (GGA-PBE)

Data for an optimized crystal structure of Ho5ZrIn6.

POSCAR file:
```
Ho5ZrIn6
1.0
-2.4682 -3.9795 -2.5151
5.2295 4.2088 -6.1673
3.6310 -3.4975 7.5948
In Ho Zr
6 5 1
Direct
0.2453 0.4089 0.0815 In
0.7547 0.9185 0.5911 In
0.7388 0.2391 0.2391 In
0.7547 0.5911 0.9185 In
0.2453 0.0815 0.4089 In
0.2612 0.7609 0.7609 In
0.5000 0.1681 0.8319 Ho
0.5000 0.8319 0.1681 Ho
0.0000 0.3339 0.6661 Ho
0.0000 0.6661 0.3339 Ho
0.5000 0.5000 0.5000 Ho
0.0000 0.0000 0.0000 Zr
```

Computed properties:
formation energy	-393	meV per atom
space-group type	C2/m (12)

***

(6)
## SmLuSiAg (GGA-PBE)

Data for an optimized crystal structure of SmLuSiAg.

POSCAR file:
```
SmLuSiAg
1.0
5.0539 0.0000 0.0000
2.5270 4.3768 0.0000
2.5270 1.4589 4.1265
Sm Lu Ag Si
1 1 1 1
Direct
0.5000 0.5000 0.5000 Sm
0.0000 0.0000 0.0000 Lu
0.2500 0.2500 0.2500 Ag
0.7500 0.7500 0.7500 Si
```

Computed properties:
space-group type	F-43m (216)
formation energy from raw total energies	-0.4137	eV per atom

***

(7)
## CaMg3Ge (GGA-PBE)

Data for an optimized crystal structure of CaMg3Ge.

POSCAR file:
```
CaMg3Ge
1.0
5.2114 0.0000 0.0000
0.0000 5.2114 0.0000
0.0000 0.0000 5.2114
Ge Mg Ca
1 3 1
Direct
0.0000 0.0000 0.0000 Ge
0.0000 0.0000 0.5000 Mg
0.5000 0.0000 0.0000 Mg
0.0000 0.5000 0.0000 Mg
0.5000 0.5000 0.5000 Ca
```

Computed properties:
formation energy	65	meV per atom
space-group type	Pm-3m (221)

***

(8)
## CdCu2AgCl6 (GGA-PBE)

Data for an optimized crystal structure of CdCu2AgCl6.

POSCAR file:
```
CdCu2AgCl6
1.0
6.6322 -0.3659 -0.3797
1.6387 8.3575 0.2213
1.6387 -0.0886 8.3600
Cl Cu Ag Cd
12 4 2 2
Direct
0.3674 0.2162 0.0268 Cl
0.6326 0.7838 0.9732 Cl
0.8674 0.0268 0.2162 Cl
0.8882 0.3771 0.8672 Cl
0.6127 0.4419 0.2943 Cl
0.6118 0.1328 0.6229 Cl
0.1127 0.2943 0.4419 Cl
0.8873 0.7057 0.5581 Cl
0.1118 0.6229 0.1328 Cl
0.1326 0.9732 0.7838 Cl
0.3882 0.8672 0.3771 Cl
0.3873 0.5581 0.7057 Cl
0.8009 0.2236 0.4026 Cu
0.3009 0.4026 0.2236 Cu
0.6991 0.5974 0.7764 Cu
0.1991 0.7764 0.5974 Cu
0.2500 0.9133 0.0867 Ag
0.7500 0.0867 0.9133 Ag
0.2500 0.2721 0.7279 Cd
0.7500 0.7279 0.2721 Cd
```

Computed properties:
space-group type	C2/c (15)
formation energy from raw total energies	-0.6455	eV per atom